[1]
This record from Alexandria describes an optimized crystal structure of InPIr2. The functional is PBE.

Lattice parameters (Å, degrees): 4.2273 4.2273 3.5177 90.00 90.00 90.00
Space group P4/mmm (No. 123)
Inequivalent atoms, fractional coordinates:
1 In 0.0000 0.0000 0.0000 [1 per cell]
2 P 0.5000 0.5000 0.0000 [1 per cell]
3 Ir 0.0000 0.5000 0.5000 [2 per cell]

Output
Mass density in g/cm³: 14.0
E_form in eV/f.u.: 0.86
Magnetic moment in μB per formula unit: 0.00
Uncorrected energy in eV per atom: -6.253
Energy above the most stable polymorph in this dataset in eV per atom: 0.344


[2]
This record from Alexandria describes an optimized crystal structure of InP2Ir. The functional is PBE.

Lattice parameters (Å, degrees): 3.8569 3.8569 4.5308 90.00 90.00 90.00
Space group P4/mmm (No. 123)
Inequivalent atoms, fractional coordinates:
1 In 0.0000 0.0000 0.0000 [1 per cell]
2 P 0.0000 0.5000 0.5000 [2 per cell]
3 Ir 0.5000 0.5000 0.0000 [1 per cell]

Output
Mass density in g/cm³: 9.1
E_form in eV/f.u.: 2.08
Magnetic moment in μB per formula unit: 0.00
Uncorrected energy in eV per atom: -5.086


[3]
This record from Alexandria describes an optimized crystal structure of InP2Ir. The functional is PBE.

Lattice parameters (Å, degrees): 3.4713 3.4713 20.5419 90.00 90.00 120.00
Space group R3m (No. 160, hexagonal axes)
Inequivalent atoms, fractional coordinates:
1 In 0.0000 0.0000 0.0000 [3 per cell]
2 P 0.0000 0.0000 0.2442 [3 per cell]
3 P 0.0000 0.0000 0.4897 [3 per cell]
4 Ir 0.0000 0.0000 0.7683 [3 per cell]

Output
Mass density in g/cm³: 8.6
E_form in eV/f.u.: 0.38
Magnetic moment in μB per formula unit: 0.00
Uncorrected energy in eV per atom: -5.510


[4]
This record from Alexandria describes an optimized crystal structure of InPIr2. The functional is PBE.

Lattice parameters (Å, degrees): 2.9830 2.9830 24.4367 90.00 90.00 120.00
Space group R-3m (No. 166, hexagonal axes)
Inequivalent atoms, fractional coordinates:
1 In 0.0000 0.0000 0.0000 [3 per cell]
2 P 0.0000 0.0000 0.5000 [3 per cell]
3 Ir 0.0000 0.0000 0.2372 [6 per cell]

Output
Mass density in g/cm³: 14.0
E_form in eV/f.u.: -0.27
Magnetic moment in μB per formula unit: 0.00
Uncorrected energy in eV per atom: -6.536
Energy above the most stable polymorph in this dataset in eV per atom: 0.061


[5]
This record from Alexandria describes an optimized crystal structure of In2PIr. The functional is PBE.

Lattice parameters (Å, degrees): 4.4497 4.4497 3.7319 90.00 90.00 90.00
Space group P4/mmm (No. 123)
Inequivalent atoms, fractional coordinates:
1 In 0.0000 0.5000 0.0000 [2 per cell]
2 P 0.0000 0.0000 0.5000 [1 per cell]
3 Ir 0.5000 0.5000 0.5000 [1 per cell]

Output
Mass density in g/cm³: 10.2
E_form in eV/f.u.: 1.14
Magnetic moment in μB per formula unit: 0.00
Uncorrected energy in eV per atom: -4.651


[6]
This record from Alexandria describes an optimized crystal structure of InP2Ir. The functional is PBE.

Lattice parameters (Å, degrees): 3.3692 3.5487 12.3667 90.00 90.00 90.00
Space group Imm2 (No. 44)
Inequivalent atoms, fractional coordinates:
1 In 0.0000 0.0000 0.0000 [2 per cell]
2 P 0.0000 0.0000 0.3653 [2 per cell]
3 P 0.0000 0.5000 0.1835 [2 per cell]
4 Ir 0.0000 0.5000 0.7317 [2 per cell]

Output
Mass density in g/cm³: 8.3
E_form in eV/f.u.: 0.49
Magnetic moment in μB per formula unit: 0.00
Uncorrected energy in eV per atom: -5.482


[7]
This record from Alexandria describes an optimized crystal structure of InPIr2. The functional is PBE.

Lattice parameters (Å, degrees): 2.9336 2.9336 7.8193 90.00 90.00 90.00
Space group P4mm (No. 99)
Inequivalent atoms, fractional coordinates:
1 In 0.0000 0.0000 0.0000 [1 per cell]
2 P 0.5000 0.5000 0.6612 [1 per cell]
3 Ir 0.0000 0.0000 0.4949 [1 per cell]
4 Ir 0.5000 0.5000 0.2439 [1 per cell]

Output
Mass density in g/cm³: 13.1
E_form in eV/f.u.: 0.32
Magnetic moment in μB per formula unit: 0.00
Uncorrected energy in eV per atom: -6.387
Energy above the most stable polymorph in this dataset in eV per atom: 0.210


[8]
This record from Alexandria describes an optimized crystal structure of InPIr2. The functional is PBE.

Lattice parameters (Å, degrees): 3.5214 5.0981 7.4885 90.00 90.00 90.00
Space group Immm (No. 71)
Inequivalent atoms, fractional coordinates:
1 In 0.0000 0.0000 0.0000 [2 per cell]
2 P 0.0000 0.0000 0.5000 [2 per cell]
3 Ir 0.0000 0.5000 0.1933 [4 per cell]

Output
Mass density in g/cm³: 13.1
E_form in eV/f.u.: 0.29
Magnetic moment in μB per formula unit: 0.00
Uncorrected energy in eV per atom: -6.395
Energy above the most stable polymorph in this dataset in eV per atom: 0.202